Entry 1:
First-principles (meta-GGA SCAN) data for a crystal of Sc3NbCr relaxed with PBEsol, as listed in the Alexandria database.

The space group is Pm-3m (No. 221) and the conventional cell measures 4.672, 4.672 and 4.672 Å, with angles of 90.00, 90.00 and 90.00 degrees. The inequivalent atoms are Sc at (0.000, 0.000, 0.500), Nb at (0.500, 0.500, 0.500) and Cr at (0.000, 0.000, 0.000).

The total magnetic moment comes out at 1.241 μB per formula unit. The calculation puts the energy relative to the elements at 0.791 eV per atom.



Entry 2:
First-principles (meta-GGA SCAN) data for a crystal of SrScNbCr2 relaxed with PBEsol, as listed in the Alexandria database.

The space group is P4/mmm (No. 123) and the conventional cell measures 4.567, 4.567 and 4.767 Å, with angles of 90.00, 90.00 and 90.00 degrees. The inequivalent atoms are Sr at (0.000, 0.000, 0.000), Sc at (0.000, 0.000, 0.500), Nb at (0.500, 0.500, 0.500) and Cr at (0.000, 0.500, 0.000).

The total magnetic moment comes out at 4.860 μB per formula unit. The calculation puts the energy relative to the elements at 2.092 eV per atom.



Entry 3:
First-principles (meta-GGA SCAN) data for a crystal of NbCrSi relaxed with PBEsol, as listed in the Alexandria database.

The space group is P-62m (No. 189) and the conventional cell measures 6.5914, 6.5914 and 3.2856 Å, with angles of 90.00, 90.00 and 120.00 degrees. The inequivalent atoms are Nb at (0.0000, 0.4043, 0.0000), Cr at (0.0000, 0.7466, 0.5000), Si at (0.0000, 0.0000, 0.0000) and Si at (0.3333, 0.6667, 0.5000).

For the raw total energy, the calculation gives -21.001 eV per atom. The total magnetic moment comes out at 0.000 μB per formula unit.



Entry 4:
First-principles (meta-GGA SCAN) data for a crystal of Nb2Cr4Si5 relaxed with PBEsol, as listed in the Alexandria database.

The space group is Ibam (No. 72) and the conventional cell measures 7.436, 15.653 and 4.808 Å, with angles of 90.00, 90.00 and 90.00 degrees. The inequivalent atoms are Nb at (0.120, 0.141, 0.000), Cr at (0.000, 0.308, 0.250), Cr at (0.245, 0.439, 0.000), Si at (0.000, 0.000, 0.250), Si at (0.077, 0.435, 0.500) and Si at (0.208, 0.212, 0.500).

For the raw total energy, the calculation gives -17.730 eV per atom. The total magnetic moment comes out at 4.696 μB per formula unit.



- The lowest total magnetic moment belongs to which entry?
  NbCrSi



- What is the total magnetic moment in the first record?
  1.241 μB per formula unit